No. 1
Crystalline La2Al2Co15 at its relaxed geometry. Source: Alexandria via LeMat-Bulk, functional PBE-GGA.

Computed properties:
For the formation enthalpy at 0 K, the calculation gives -112.2 meV per atom. For the size of the total moment, the calculation gives 19.6 μB per formula unit. The space group is No. 166.

abc: 6.384 6.384 6.384
angles: 82.83 82.83 82.83
Each line ends with the local moment (μB).
Positions (direct):
Co 0.857 0.346 0.346  1.31
Co 0.718 0.000 0.282  1.49
Co 0.654 0.143 0.654  1.31
Co 0.654 0.654 0.143  1.31
Co 0.500 0.000 0.000  1.36
Co 0.000 0.000 0.500  1.36
Co 0.000 0.718 0.282  1.49
Co 0.143 0.654 0.654  1.31
Co 0.282 0.000 0.718  1.49
Co 0.282 0.718 0.000  1.49
Co 0.346 0.857 0.346  1.31
Co 0.000 0.500 0.000  1.36
Co 0.000 0.282 0.718  1.49
Co 0.718 0.282 0.000  1.49
Co 0.346 0.346 0.857  1.31
La 0.646 0.646 0.646  -0.20
La 0.354 0.354 0.354  -0.20
Al 0.105 0.105 0.105  -0.04
Al 0.895 0.895 0.895  -0.04


No. 2
Crystalline LaAl12Co4 at its relaxed geometry. Source: Alexandria via LeMat-Bulk, functional PBE-GGA.

Computed properties:
For the formation enthalpy at 0 K, the calculation gives -161.7 meV per atom. For the size of the total moment, the calculation gives 1.2 μB per formula unit. The space group is No. 229.

abc: 7.777 7.777 7.777
angles: 109.47 109.47 109.47
Each line ends with the local moment (μB).
Positions (direct):
Al 0.261 0.000 0.739  0.00
Al 0.261 0.522 0.261  0.00
Al 0.739 0.478 0.739  0.00
Al 0.000 0.261 0.739  0.00
Al 0.478 0.739 0.739  0.00
Al 0.000 0.739 0.261  0.00
Al 0.739 0.000 0.261  0.00
Al 0.522 0.261 0.261  0.00
Al 0.261 0.261 0.522  0.00
Al 0.739 0.739 0.478  0.00
Al 0.739 0.261 0.000  0.00
Al 0.261 0.739 0.000  0.00
Co 0.000 0.000 0.500  0.09
Co 0.500 0.000 0.000  0.09
Co 0.500 0.500 0.500  0.09
Co 0.000 0.500 0.000  0.09
La 0.000 0.000 0.000  0.21


No. 3
Crystalline LaAl11Co at its relaxed geometry. Source: Alexandria via LeMat-Bulk, functional PBE-GGA.

Computed properties:
For the formation enthalpy at 0 K, the calculation gives -233.6 meV per atom. For the size of the total moment, the calculation gives 0.0 μB per formula unit. The space group is No. 12.

abc: 5.157 7.259 6.820
angles: 82.99 67.79 71.17
Positions (direct):
La 0.000 0.000 0.000
Al 0.000 0.000 0.500
Al 0.500 0.000 0.500
Al 0.982 0.363 0.654
Al 0.636 0.363 0.346
Al 0.364 0.637 0.654
Al 0.000 0.500 0.000
Al 0.719 0.763 0.782
Al 0.281 0.237 0.218
Al 0.018 0.637 0.346
Al 0.499 0.237 0.782
Al 0.501 0.763 0.218
Co 0.500 0.500 0.000


No. 4
Crystalline La3Al3Co2 at its relaxed geometry. Source: Alexandria via LeMat-Bulk, functional PBE-GGA.

Computed properties:
For the formation enthalpy at 0 K, the calculation gives -400.4 meV per atom. For the size of the total moment, the calculation gives 0.0 μB per formula unit. The space group is No. 2.

abc: 4.480 5.003 8.404
angles: 98.73 105.44 89.99
Positions (direct):
Al 0.500 0.500 0.000
Al 0.646 0.040 0.293
Al 0.354 0.960 0.707
La 0.165 0.564 0.329
La 0.835 0.436 0.671
La 0.000 0.000 0.000
Co 0.791 0.921 0.581
Co 0.209 0.079 0.419


No. 5
Crystalline La2AlCo2 at its relaxed geometry. Source: Alexandria via LeMat-Bulk, functional PBE-GGA.

Computed properties:
For the formation enthalpy at 0 K, the calculation gives 308.9 meV per atom. For the size of the total moment, the calculation gives 0.7 μB per formula unit. The space group is No. 127.

abc: 8.158 8.158 3.248
angles: 90.00 90.00 90.00
Each line ends with the local moment (μB).
Positions (direct):
Al 0.500 0.500 0.000  0.01
Al 0.000 0.000 0.000  0.01
La 0.647 0.147 0.000  -0.06
La 0.353 0.853 0.000  -0.06
La 0.853 0.647 0.000  -0.06
La 0.147 0.353 0.000  -0.06
Co 0.835 0.335 0.500  0.43
Co 0.665 0.835 0.500  0.43
Co 0.335 0.165 0.500  0.43
Co 0.165 0.665 0.500  0.43


No. 6
Crystalline La7Al2Co2 at its relaxed geometry. Source: Alexandria via LeMat-Bulk, functional PBE-GGA.

Computed properties:
For the formation enthalpy at 0 K, the calculation gives -130.3 meV per atom. For the size of the total moment, the calculation gives 0.0 μB per formula unit. The space group is No. 65.

abc: 7.016 7.057 7.016
angles: 90.00 109.71 90.00
Positions (direct):
La 0.500 0.749 0.500
La 0.500 0.748 0.000
La 0.000 0.000 0.000
La 0.000 0.748 0.500
La 0.000 0.252 0.500
La 0.500 0.251 0.500
La 0.500 0.252 0.000
Co 0.704 0.000 0.296
Co 0.296 0.000 0.704
Al 0.841 0.500 0.841
Al 0.159 0.500 0.159


No. 7
Crystalline La4AlCo at its relaxed geometry. Source: Alexandria via LeMat-Bulk, functional PBE-GGA.

Computed properties:
For the formation enthalpy at 0 K, the calculation gives -159.7 meV per atom. For the size of the total moment, the calculation gives 0.0 μB per formula unit. For the energy above the most stable polymorph in this dataset, the calculation gives 0.000 eV per atom. The space group is No. 11.

abc: 5.835 7.129 9.251
angles: 90.00 116.40 90.00
Positions (direct):
La 0.905 0.009 0.270
La 0.677 0.250 0.887
La 0.905 0.491 0.270
La 0.323 0.750 0.113
La 0.438 0.750 0.541
La 0.095 0.991 0.730
La 0.095 0.509 0.730
La 0.562 0.250 0.459
Co 0.800 0.750 0.444
Co 0.200 0.250 0.556
Al 0.314 0.250 0.078
Al 0.686 0.750 0.922


No. 8
Crystalline LaAl4Co at its relaxed geometry. Source: Alexandria via LeMat-Bulk, functional PBE-GGA.

Computed properties:
For the formation enthalpy at 0 K, the calculation gives -522.5 meV per atom. For the size of the total moment, the calculation gives 0.0 μB per formula unit. The space group is No. 51.

abc: 4.067 6.993 7.698
angles: 90.00 90.00 90.00
Positions (direct):
Al 0.500 0.709 0.071
Al 0.500 0.291 0.929
Al 0.500 0.045 0.250
Al 0.500 0.709 0.429
Al 0.500 0.291 0.571
Al 0.000 0.000 0.500
Al 0.500 0.955 0.750
Al 0.000 0.000 0.000
Co 0.000 0.182 0.750
Co 0.000 0.818 0.250
La 0.000 0.612 0.750
La 0.000 0.388 0.250


No. 9
Crystalline La2Al2Co at its relaxed geometry. Source: Alexandria via LeMat-Bulk, functional PBE-GGA.

Computed properties:
For the formation enthalpy at 0 K, the calculation gives 190.0 meV per atom. For the size of the total moment, the calculation gives 1.0 μB per formula unit. For the energy above the most stable polymorph in this dataset, the calculation gives 0.323 eV per atom. The space group is No. 139.

abc: 6.116 6.116 5.587
angles: 56.82 56.82 90.00
Each line ends with the local moment (μB).
Positions (direct):
Al 0.673 0.673 0.655  -0.01
Al 0.327 0.327 0.345  -0.01
La 0.250 0.750 0.500  0.03
La 0.750 0.250 0.500  0.03
Co 0.000 0.000 0.000  1.08


No. 10
Crystalline La2Al2Co at its relaxed geometry. Source: Alexandria via LeMat-Bulk, functional PBE-GGA.

Computed properties:
For the formation enthalpy at 0 K, the calculation gives 692.4 meV per atom. For the size of the total moment, the calculation gives 1.5 μB per formula unit. For the energy above the most stable polymorph in this dataset, the calculation gives 0.825 eV per atom. The space group is No. 139.

abc: 7.644 7.644 7.644
angles: 147.34 147.34 46.86
Each line ends with the local moment (μB).
Positions (direct):
Co 0.000 0.000 0.000  -1.91
La 0.250 0.750 0.500  0.05
La 0.750 0.250 0.500  0.05
Al 0.414 0.414 0.000  0.00
Al 0.586 0.586 0.000  0.00


No. 11
Crystalline La2AlCo2 at its relaxed geometry. Source: Alexandria via LeMat-Bulk, functional PBE-GGA.

Computed properties:
For the formation enthalpy at 0 K, the calculation gives -187.9 meV per atom. For the size of the total moment, the calculation gives 0.2 μB per formula unit. The space group is No. 127.

abc: 7.058 7.058 4.177
angles: 90.00 90.00 90.00
Each line ends with the local moment (μB).
Positions (direct):
Co 0.884 0.616 0.000  0.14
Co 0.116 0.384 0.000  0.14
Co 0.384 0.884 0.000  0.14
Co 0.616 0.116 0.000  0.14
La 0.186 0.686 0.500  -0.02
La 0.686 0.814 0.500  -0.02
La 0.814 0.314 0.500  -0.02
La 0.314 0.186 0.500  -0.02
Al 0.500 0.500 0.000  0.00
Al 0.000 0.000 0.000  0.00


No. 12
Crystalline La2Al2Co at its relaxed geometry. Source: Alexandria via LeMat-Bulk, functional PBE-GGA.

Computed properties:
For the formation enthalpy at 0 K, the calculation gives -133.1 meV per atom. For the size of the total moment, the calculation gives 0.1 μB per formula unit. For the energy above the most stable polymorph in this dataset, the calculation gives 0.000 eV per atom. The space group is No. 127.

abc: 6.624 6.624 5.136
angles: 90.00 90.00 90.00
Each line ends with the local moment (μB).
Positions (direct):
Al 0.850 0.650 0.000  0.00
Al 0.150 0.350 0.000  0.00
Al 0.650 0.150 0.000  0.00
Al 0.350 0.850 0.000  0.00
La 0.169 0.669 0.500  0.00
La 0.331 0.169 0.500  0.00
La 0.831 0.331 0.500  0.00
La 0.669 0.831 0.500  0.00
Co 0.500 0.500 0.000  -0.07
Co 0.000 0.000 0.000  -0.06


No. 13
Crystalline La2AlCo2 at its relaxed geometry. Source: Alexandria via LeMat-Bulk, functional PBE-GGA.

Computed properties:
For the formation enthalpy at 0 K, the calculation gives -276.7 meV per atom. For the size of the total moment, the calculation gives 0.0 μB per formula unit. The space group is No. 15.

abc: 5.611 5.611 7.690
angles: 77.71 77.71 60.91
Positions (direct):
Co 0.721 0.001 0.506
Co 0.001 0.721 0.006
Co 0.279 0.999 0.494
Co 0.999 0.279 0.994
La 0.502 0.206 0.148
La 0.794 0.498 0.352
La 0.206 0.502 0.648
La 0.498 0.794 0.852
Al 0.881 0.119 0.750
Al 0.119 0.881 0.250


No. 14
Crystalline LaAl12Co6 at its relaxed geometry. Source: Alexandria via LeMat-Bulk, functional PBE-GGA.

Computed properties:
For the formation enthalpy at 0 K, the calculation gives -418.0 meV per atom. For the size of the total moment, the calculation gives 0.0 μB per formula unit. The space group is No. 166.

abc: 6.927 6.927 6.927
angles: 105.01 105.01 105.01
Positions (direct):
La 0.000 0.000 0.000
Al 0.122 0.878 0.500
Al 0.500 0.122 0.878
Al 0.844 0.573 0.573
Al 0.156 0.427 0.427
Al 0.573 0.573 0.844
Al 0.500 0.878 0.122
Al 0.878 0.122 0.500
Al 0.427 0.427 0.156
Al 0.573 0.844 0.573
Al 0.122 0.500 0.878
Al 0.878 0.500 0.122
Al 0.427 0.156 0.427
Co 0.264 0.264 0.680
Co 0.320 0.736 0.736
Co 0.736 0.320 0.736
Co 0.264 0.680 0.264
Co 0.736 0.736 0.320
Co 0.680 0.264 0.264


No. 15
Crystalline LiLa2AlCo at its relaxed geometry. Source: Alexandria via LeMat-Bulk, functional PBE-GGA.

Computed properties:
For the formation enthalpy at 0 K, the calculation gives -167.4 meV per atom. For the size of the total moment, the calculation gives 0.0 μB per formula unit. The space group is No. 123.

abc: 5.315 5.315 4.724
angles: 90.00 90.00 90.00
Positions (direct):
Al 0.000 0.000 0.500
Li 0.500 0.500 0.500
La 0.500 0.000 0.000
La 0.000 0.500 0.000
Co 0.000 0.000 0.000


No. 16
Crystalline LiLaAl2Co at its relaxed geometry. Source: Alexandria via LeMat-Bulk, functional PBE-GGA.

Computed properties:
For the formation enthalpy at 0 K, the calculation gives -288.9 meV per atom. For the size of the total moment, the calculation gives 0.0 μB per formula unit. The space group is No. 123.

abc: 4.547 4.547 4.711
angles: 90.00 90.00 90.00
Positions (direct):
Al 0.500 0.000 0.000
Al 0.000 0.500 0.000
La 0.500 0.500 0.500
Li 0.000 0.000 0.500
Co 0.000 0.000 0.000


No. 17
Crystalline LaMg2AlCo at its relaxed geometry. Source: Alexandria via LeMat-Bulk, functional PBE-GGA.

Computed properties:
For the formation enthalpy at 0 K, the calculation gives -172.5 meV per atom. For the size of the total moment, the calculation gives 0.0 μB per formula unit. The space group is No. 123.

abc: 4.832 4.832 4.638
angles: 90.00 90.00 90.00
Positions (direct):
Mg 0.000 0.500 0.000
Mg 0.500 0.000 0.000
La 0.500 0.500 0.500
Al 0.000 0.000 0.500
Co 0.000 0.000 0.000


No. 18
Crystalline La2MgAlCo at its relaxed geometry. Source: Alexandria via LeMat-Bulk, functional PBE-GGA.

Computed properties:
For the formation enthalpy at 0 K, the calculation gives -201.5 meV per atom. For the size of the total moment, the calculation gives 0.0 μB per formula unit. The space group is No. 123.

abc: 5.325 5.325 4.727
angles: 90.00 90.00 90.00
Positions (direct):
La 0.000 0.500 0.000
La 0.500 0.000 0.000
Mg 0.500 0.500 0.500
Al 0.000 0.000 0.500
Co 0.000 0.000 0.000


No. 19
Crystalline LaMgAl2Co at its relaxed geometry. Source: Alexandria via LeMat-Bulk, functional PBE-GGA.

Computed properties:
For the formation enthalpy at 0 K, the calculation gives -355.2 meV per atom. For the size of the total moment, the calculation gives 0.0 μB per formula unit. The space group is No. 123.

abc: 4.599 4.599 4.778
angles: 90.00 90.00 90.00
Positions (direct):
Al 0.500 0.000 0.000
Al 0.000 0.500 0.000
La 0.500 0.500 0.500
Co 0.000 0.000 0.000
Mg 0.000 0.000 0.500


No. 20
Crystalline La2MnAl12Co3 at its relaxed geometry. Source: Alexandria via LeMat-Bulk, functional PBE-GGA.

Computed properties:
For the formation enthalpy at 0 K, the calculation gives -53.3 meV per atom. For the size of the total moment, the calculation gives 2.9 μB per formula unit. The space group is No. 166.

abc: 10.146 10.146 10.146
angles: 36.78 36.78 36.78
Each line ends with the local moment (μB).
Positions (direct):
Al 0.597 0.597 0.179  0.00
Al 0.179 0.597 0.597  0.00
Al 0.821 0.403 0.403  0.00
Al 0.925 0.925 0.360  -0.02
Al 0.640 0.075 0.075  -0.02
Al 0.360 0.925 0.925  -0.02
Al 0.075 0.075 0.640  -0.02
Al 0.403 0.821 0.403  0.00
Al 0.403 0.403 0.821  0.00
Al 0.925 0.360 0.925  -0.02
Al 0.597 0.179 0.597  0.00
Al 0.075 0.640 0.075  -0.02
La 0.356 0.356 0.356  -0.05
La 0.644 0.644 0.644  -0.05
Co 0.000 0.500 0.000  0.36
Co 0.000 0.000 0.500  0.36
Co 0.500 0.000 0.000  0.36
Mn 0.000 0.000 0.000  2.44


No. 21
Crystalline NaLa2AlCo at its relaxed geometry. Source: Alexandria via LeMat-Bulk, functional PBE-GGA.

Computed properties:
For the formation enthalpy at 0 K, the calculation gives -134.5 meV per atom. For the size of the total moment, the calculation gives 0.0 μB per formula unit. The space group is No. 123.

abc: 5.386 5.386 4.787
angles: 90.00 90.00 90.00
Positions (direct):
Al 0.000 0.000 0.500
La 0.500 0.000 0.000
La 0.000 0.500 0.000
Na 0.500 0.500 0.500
Co 0.000 0.000 0.000


No. 22
Crystalline La2AlCo3Ni12 at its relaxed geometry. Source: Alexandria via LeMat-Bulk, functional PBE-GGA.

Computed properties:
For the formation enthalpy at 0 K, the calculation gives 47.0 meV per atom. For the size of the total moment, the calculation gives 7.4 μB per formula unit. The space group is No. 166.

abc: 6.282 6.282 6.282
angles: 83.04 83.04 83.04
Each line ends with the local moment (μB).
Positions (direct):
Ni 0.199 0.732 0.199  0.30
Ni 0.151 0.580 0.580  0.35
Ni 0.580 0.151 0.580  0.35
Ni 0.801 0.268 0.801  0.30
Ni 0.801 0.801 0.268  0.30
Ni 0.849 0.420 0.420  0.35
Ni 0.420 0.420 0.849  0.35
Ni 0.420 0.849 0.420  0.35
Ni 0.268 0.801 0.801  0.30
Ni 0.199 0.199 0.732  0.30
Ni 0.732 0.199 0.199  0.30
Ni 0.580 0.580 0.151  0.35
La 0.727 0.727 0.727  -0.13
La 0.273 0.273 0.273  -0.13
Al 0.000 0.000 0.000  -0.01
Co 0.000 0.500 0.000  1.41
Co 0.500 0.000 0.000  1.41
Co 0.000 0.000 0.500  1.41